[1]
DFT (GGA-PBE) results for a relaxed Bi2W crystal.

Cell lengths 7.060, 7.060, 5.747 Å; angles 99.43, 99.43, 34.76 degrees
Element x y z (fractional)
Bi 0.069 0.069 0.304
Bi 0.343 0.343 0.150
Bi 0.657 0.657 0.850
Bi 0.931 0.931 0.696
W 0.274 0.274 0.626
W 0.726 0.726 0.374

Calculated values
mass density	12.4	Mg/m³
total energy	-19.6	eV per formula unit
total magnetization	0.0	μB per cell

[2]
DFT (GGA-PBE) results for a relaxed Ta4CdAsC2 crystal.

Cell lengths 3.247, 3.247, 13.235 Å; angles 90.00, 90.00, 120.00 degrees
Element x y z (fractional)
Ta 0.000 0.000 0.142
Ta 0.000 0.000 0.858
Ta 0.667 0.333 0.317
Ta 0.667 0.333 0.683
Cd 0.000 0.000 0.500
As 0.667 0.333 0.000
C 0.333 0.667 0.233
C 0.333 0.667 0.767

Calculated values
mass density	12.9	Mg/m³
total energy	-75.0	eV per formula unit
total magnetization	0.0	μB per cell

[3]
DFT (GGA-PBE) results for a relaxed Li2CoNiAs2 crystal.

Cell lengths 3.772, 3.772, 6.028 Å; angles 90.00, 90.00, 90.00 degrees
Element x y z (fractional)
Li 0.000 0.500 0.175
Li 0.500 0.000 0.825
Co 0.500 0.500 0.500
Ni 0.000 0.000 0.500
As 0.000 0.500 0.736
As 0.500 0.000 0.264

Calculated values
mass density	5.4	Mg/m³
total energy	-28.8	eV per formula unit
total magnetization	1.4	μB per cell

Which of these has the lowest total energy? Ta4CdAsC2